one:
Al2SN: optimized geometry, PBE.

The structure belongs to space group I-42d (No. 122); the cell edges are 4.9135, 4.9135 and 9.6794 Å and the angles 90.00°, 90.00° and 90.00°. The asymmetric unit holds Al at (0.1708, 0.2500, 0.1250), S at (0.0000, 0.0000, 0.5000) and N at (0.0000, 0.0000, 0.0000).

The calculation puts the total magnetization at 0.00 μB per formula unit.

two:
Al2SN: optimized geometry, PBE.

The structure belongs to space group Fm-3m (No. 225); the cell edges are 5.8109, 5.8109 and 5.8109 Å and the angles 90.00°, 90.00° and 90.00°. The asymmetric unit holds Al at (0.2500, 0.2500, 0.2500), S at (0.0000, 0.0000, 0.0000) and N at (0.0000, 0.0000, 0.5000).

The calculation puts the total magnetization at 0.00 μB per formula unit.

Decreasing stability: one, two

one:
Al2SN2: optimized geometry, PBE.

The structure belongs to space group P4/mbm (No. 127); the cell edges are 6.2338, 6.2338 and 2.6751 Å and the angles 90.00°, 90.00° and 90.00°. The asymmetric unit holds Al at (0.1479, 0.3521, 0.0000), S at (0.0000, 0.0000, 0.0000) and N at (0.1372, 0.6372, 0.5000).

The calculation puts the total magnetization at 0.00 μB per formula unit.

two:
Al2SN2: optimized geometry, PBE.

The structure belongs to space group I4/mmm (No. 139); the cell edges are 3.2606, 3.2606 and 10.9742 Å and the angles 90.00°, 90.00° and 90.00°. The asymmetric unit holds Al at (0.0000, 0.0000, 0.1461), S at (0.0000, 0.0000, 0.5000) and N at (0.0000, 0.5000, 0.2500).

The calculation puts the total magnetization at 0.00 μB per formula unit.

Decreasing stability: two, one

one:
AlSbSN2: optimized geometry, PBE.

The structure belongs to space group P4/mmm (No. 123); the cell edges are 3.9531, 3.9531 and 5.3455 Å and the angles 90.00°, 90.00° and 90.00°. The asymmetric unit holds Al at (0.0000, 0.0000, 0.0000), Sb at (0.5000, 0.5000, 0.5000), S at (0.5000, 0.5000, 0.0000) and N at (0.0000, 0.5000, 0.5000).

The calculation puts the total magnetization at 0.52 μB per formula unit.

two:
AlSbSN2: optimized geometry, PBE.

The structure belongs to space group P4/mmm (No. 123); the cell edges are 3.8063, 3.8063 and 5.0011 Å and the angles 90.00°, 90.00° and 90.00°. The asymmetric unit holds Al at (0.0000, 0.0000, 0.0000), Sb at (0.5000, 0.5000, 0.5000), S at (0.0000, 0.0000, 0.5000) and N at (0.0000, 0.5000, 0.0000).

The calculation puts the total magnetization at 0.00 μB per formula unit.

Decreasing stability: two, one

one:
AlSbS2N: optimized geometry, PBE.

The structure belongs to space group P4/mmm (No. 123); the cell edges are 4.8363, 4.8363 and 3.6687 Å and the angles 90.00°, 90.00° and 90.00°. The asymmetric unit holds Al at (0.0000, 0.0000, 0.0000), Sb at (0.5000, 0.5000, 0.5000), S at (0.0000, 0.5000, 0.0000) and N at (0.0000, 0.0000, 0.5000).

The calculation puts the total magnetization at 1.39 μB per formula unit.

two:
AlSbS2N: optimized geometry, PBE.

The structure belongs to space group P4/mmm (No. 123); the cell edges are 5.0625, 5.0625 and 3.9238 Å and the angles 90.00°, 90.00° and 90.00°. The asymmetric unit holds Al at (0.0000, 0.0000, 0.0000), Sb at (0.5000, 0.5000, 0.5000), S at (0.0000, 0.5000, 0.5000) and N at (0.5000, 0.5000, 0.0000).

The calculation puts the total magnetization at 0.00 μB per formula unit.

Decreasing stability: one, two